Here is a relaxed structure of TbPm2As from the Alexandria database. Energies are from GGA-PBE.

Cell lengths 3.8340, 3.8340, 7.8009 Å; angles 90.00, 90.00, 90.00 degrees
Element x y z (fractional)
Tb1 0.0000 0.0000 0.0000
Pm1 0.5000 0.5000 0.2975
Pm2 0.5000 0.5000 0.7025
As1 0.0000 0.0000 0.5000

Properties
formation energy: -0.528 eV/atom
energy relative to the lowest polymorph listed for this composition: 68.8 meV/atom
total magnetic moment: 0.00 μB/f.u.
electronic total energy: -20.9 eV/cell



Here is a relaxed structure of InAu2Se2 from the Alexandria database. Energies are from GGA-PBE.

Cell lengths 7.6596, 7.6596, 3.7015 Å; angles 90.00, 90.00, 90.00 degrees
Element x y z (fractional)
In1 0.0000 0.0000 0.0000
In2 0.5000 0.5000 0.0000
Au1 0.1285 0.3715 0.0000
Au2 0.3715 0.8715 0.0000
Au3 0.6285 0.1285 0.0000
Au4 0.8715 0.6285 0.0000
Se1 0.1849 0.6849 0.5000
Se2 0.3151 0.1849 0.5000
Se3 0.6849 0.8151 0.5000
Se4 0.8151 0.3151 0.5000

Properties
raw formation energy: 0.12 eV per atom
energy relative to the lowest polymorph listed for this composition: 78.7 meV/atom
total magnetic moment: 0.00 μB/f.u.
electronic total energy: -31.3 eV/cell



Here is a relaxed structure of SrAg2Os from the Alexandria database. Energies are from GGA-PBE.

Cell lengths 5.2321, 5.2321, 3.0091 Å; angles 90.00, 90.00, 107.61 degrees
Element x y z (fractional)
Sr1 0.0000 0.0000 0.0000
Ag1 0.0000 0.5000 0.5000
Ag2 0.5000 0.0000 0.5000
Os1 0.5000 0.5000 0.0000

Properties
formation energy: 0.655 eV/atom
energy relative to the lowest polymorph listed for this composition: 54.3 meV/atom
total magnetic moment: 0.05 μB/f.u.
electronic total energy: -16.0 eV/cell



Here is a relaxed structure of CePrNd2Tl4 from the Alexandria database. Energies are from GGA-PBE.

Cell lengths 9.5921, 9.5921, 9.5921 Å; angles 33.55, 33.55, 33.55 degrees
Element x y z (fractional)
Ce1 0.0000 0.0000 0.0000
Pr1 0.5000 0.5000 0.5000
Nd1 0.2498 0.2498 0.2498
Nd2 0.7502 0.7502 0.7502
Tl1 0.1246 0.1246 0.1246
Tl2 0.3745 0.3745 0.3745
Tl3 0.6255 0.6255 0.6255
Tl4 0.8754 0.8754 0.8754

Properties
formation energy: -0.341 eV/atom
total magnetic moment: 1.07 μB/f.u.
electronic total energy: -32.4 eV/cell



Here is a relaxed structure of Te3C from the Alexandria database. Energies are from GGA-PBE.

Cell lengths 16.6583, 16.6583, 16.6583 Å; angles 166.28, 166.28, 19.46 degrees
Element x y z (fractional)
Te1 0.0000 0.5000 0.5000
Te2 0.1258 0.1258 0.0000
Te3 0.2500 0.7500 0.5000
Te4 0.5000 0.0000 0.5000
Te5 0.7500 0.2500 0.5000
Te6 0.8742 0.8742 0.0000
C1 0.3740 0.3740 0.0000
C2 0.6260 0.6260 0.0000

Properties
raw formation energy: 1.64 eV per atom
energy relative to the lowest polymorph listed for this composition: 839.0 meV/atom
total magnetic moment: 0.53 μB/f.u.
electronic total energy: -24.1 eV/cell



Here is a relaxed structure of GaSiSb2I from the Alexandria database. Energies are from GGA-PBE.

Cell lengths 5.3501, 5.3501, 5.4204 Å; angles 90.00, 90.00, 90.00 degrees
Element x y z (fractional)
Ga1 0.0000 0.0000 0.0000
Si1 0.5000 0.5000 0.5000
Sb1 0.0000 0.5000 0.0000
Sb2 0.5000 0.0000 0.0000
I1 0.0000 0.0000 0.5000

Properties
raw formation energy: 0.86 eV per atom
energy relative to the lowest polymorph listed for this composition: 337.1 meV/atom
total magnetic moment: 0.00 μB/f.u.
electronic total energy: -13.9 eV/cell